[1]
Below is a relaxed TbReTc crystal, with properties calculated at the PBE level.

a = 14.7337 Å, b = 4.2552 Å, c = 4.2551 Å
α = 90.00°, β = 106.71°, γ = 90.00°
Closest atoms and distances in Å follow each position.
Space group C2/m (No. 12)
Inequivalent atoms, fractional coordinates:
Tb: 0.1696 0.0000 0.1695 x4  5 Re 3.17-3.26, 4 Tc 3.20
Re: 0.0997 0.5000 0.5995 x4  4 Tc 2.55, 1 Re 2.81
Tc: 0.0000 0.0000 0.5000 x2  4 Re 2.55
Tc: 0.0000 0.5000 0.0000 x2  4 Re 2.55

Calculated values
Relative energy among the computed polymorphs in eV per atom: 0.350
D(E_F) in states/eV/cell: 17.70
M_tot in μB per formula unit: 0.00

---

[2]
Below is a relaxed Ce4Bi3H4 crystal, with properties calculated at the PBE level.

a = 4.4097 Å, b = 7.1379 Å, c = 14.7451 Å
α = 90.00°, β = 90.00°, γ = 90.00°
Closest atoms and distances in Å follow each position.
Space group Immm (No. 71)
Inequivalent atoms, fractional coordinates:
Ce: 0.0000 0.0000 0.2171 x4  6 H 2.65-2.69
Ce: 0.0000 0.2039 0.5000 x4  2 H 2.74, 1 Ce 2.91, 2 Bi 3.05
Bi: 0.0000 0.0000 0.0000 x2  6 Ce 3.05-3.20
Bi: 0.0000 0.5000 0.1289 x4  6 H 3.15-3.20, 6 Ce 3.17-3.25
H: 0.0000 0.3089 0.3211 x8  4 Ce 2.65-2.74, 1 H 2.73

Calculated values
Total DFT energy (no corrections) in eV per atom: -4.93
D(E_F) in states/eV/cell: 40.37
M_tot in μB per formula unit: 3.09

---

[3]
Below is a relaxed FeRuPt2 crystal, with properties calculated at the PBE level.

a = 9.0778 Å, b = 2.7200 Å, c = 4.7617 Å
α = 90.00°, β = 100.55°, γ = 90.00°
Closest atoms and distances in Å follow each position.
Space group Cm (No. 8)
Inequivalent atoms, fractional coordinates:
Fe: 0.0000 0.0000 0.0000 x2  3 Ru 2.67-2.85, 7 Pt 2.68-2.78, 2 Fe 2.72
Ru: 0.2403 0.5000 0.2591 x2  3 Fe 2.67-2.85, 7 Pt 2.68-2.77, 2 Ru 2.72
Pt: 0.2522 0.0000 0.7705 x2  3 Fe 2.68-2.71, 4 Ru 2.71-2.77, 5 Pt 2.72-2.84
Pt: 0.4920 0.0000 0.4892 x2  3 Ru 2.68-2.71, 4 Fe 2.71-2.78, 5 Pt 2.72-2.84

Calculated values
Total DFT energy (no corrections) in eV per atom: -7.51
D(E_F) in states/eV/cell: 10.44
M_tot in μB per formula unit: 3.23

---

[4]
Below is a relaxed TePH crystal, with properties calculated at the PBE level.

a = 3.1830 Å, b = 6.6362 Å, c = 6.2441 Å
α = 90.00°, β = 90.76°, γ = 90.00°
Closest atoms and distances in Å follow each position.
Space group Pm (No. 6)
Inequivalent atoms, fractional coordinates:
Te: 0.0000 0.0000 0.0000 x1  4 H 2.86-2.91, 4 Te 3.11-3.18
Te: 0.0016 0.0000 0.4977 x1  4 Te 3.11-3.18, 2 P 3.32, 4 H 3.43-3.44
P: 0.9995 0.5000 0.4651 x1  2 P 2.15
P: 0.5057 0.5000 0.6959 x1  2 H 1.44
H: 0.5123 0.3290 0.8376 x2  1 P 1.44

Calculated values
Relative energy among the computed polymorphs in eV per atom: 0.070
D(E_F) in states/eV/cell: 1.36
M_tot in μB per formula unit: 0.00

---

[5]
Below is a relaxed Y2MnBr crystal, with properties calculated at the PBE level.

a = 7.1078 Å, b = 7.1078 Å, c = 7.1078 Å
α = 90.00°, β = 90.00°, γ = 90.00°
Closest atoms and distances in Å follow each position.
Space group Fm-3m (No. 225)
Inequivalent atoms, fractional coordinates:
Y: 0.2500 0.2500 0.2500 x8  4 Mn 3.08, 4 Br 3.08
Mn: 0.0000 0.0000 0.0000 x4  8 Y 3.08
Br: 0.0000 0.0000 0.5000 x4  8 Y 3.08

Calculated values
Raw formation energy in eV per atom: 0.21
Relative energy among the computed polymorphs in eV per atom: 0.625
D(E_F) in states/eV/cell: 27.24
M_tot in μB per formula unit: 0.00

---

[6]
Below is a relaxed Pu2PO8 crystal, with properties calculated at the PBE level.

a = 18.0024 Å, b = 4.6509 Å, c = 4.1069 Å
α = 90.00°, β = 90.33°, γ = 90.00°
Closest atoms and distances in Å follow each position.
Space group C2/m (No. 12)
Inequivalent atoms, fractional coordinates:
Pu: 0.1745 0.0000 0.4986 x4  5 O 2.05-2.27
P: 0.0000 0.0000 0.5000 x2  4 O 1.60
O: 0.0641 0.2377 0.4970 x8  1 P 1.60
O: 0.1727 0.0000 0.9986 x4  2 Pu 2.05
O: 0.2111 0.5000 0.4988 x4  1 Pu 2.06

Calculated values
Raw formation energy in eV per atom: -2.08
D(E_F) in states/eV/cell: 18.78
M_tot in μB per formula unit: 5.01

---

[7]
Below is a relaxed ScNi2P crystal, with properties calculated at the PBE level.

a = 3.2249 Å, b = 3.2249 Å, c = 5.2950 Å
α = 90.00°, β = 90.00°, γ = 90.00°
Closest atoms and distances in Å follow each position.
Space group P4/mmm (No. 123)
Inequivalent atoms, fractional coordinates:
Sc: 0.0000 0.0000 0.0000 x1  2 P 2.65, 8 Ni 2.70
Ni: 0.5000 0.5000 0.2721 x2  1 Ni 2.41, 4 P 2.58, 4 Sc 2.70
P: 0.0000 0.0000 0.5000 x1  8 Ni 2.58, 2 Sc 2.65

Calculated values
Relative energy among the computed polymorphs in eV per atom: 0.463
D(E_F) in states/eV/cell: 3.16
M_tot in μB per formula unit: 0.00

---

[8]
Below is a relaxed ZrScF2 crystal, with properties calculated at the PBE level.

a = 3.0338 Å, b = 3.0338 Å, c = 23.1526 Å
α = 90.00°, β = 90.00°, γ = 120.00°
Closest atoms and distances in Å follow each position.
Space group R-3m (No. 166, hexagonal axes)
Inequivalent atoms, fractional coordinates:
Zr: 0.0000 0.0000 0.0000 x3  2 F 2.38
Sc: 0.0000 0.0000 0.5000 x3  6 F 2.29
F: 0.0000 0.0000 0.1026 x6  3 Sc 2.29, 1 Zr 2.38

Calculated values
Raw formation energy in eV per atom: -1.97
Relative energy among the computed polymorphs in eV per atom: 0.000
D(E_F) in states/eV/cell: 6.71
M_tot in μB per formula unit: 0.00

---

[9]
Below is a relaxed SrPrInAg crystal, with properties calculated at the PBE level.

a = 3.8488 Å, b = 3.8488 Å, c = 8.1363 Å
α = 90.00°, β = 90.00°, γ = 90.00°
Closest atoms and distances in Å follow each position.
Space group P4mm (No. 99)
Inequivalent atoms, fractional coordinates:
Sr: 0.0000 0.0000 0.0000 x1  4 Ag 3.44, 4 In 3.53, 4 Sr 3.85
Pr: 0.0000 0.0000 0.5209 x1  4 Ag 3.26, 4 In 3.37
In: 0.5000 0.5000 0.2762 x1  4 Pr 3.37, 4 Sr 3.53
Ag: 0.5000 0.5000 0.7418 x1  4 Pr 3.26, 4 Sr 3.44

Calculated values
Relative energy among the computed polymorphs in eV per atom: 0.000
D(E_F) in states/eV/cell: 3.22
M_tot in μB per formula unit: 0.11

---

[10]
Below is a relaxed Rb4Se2O crystal, with properties calculated at the PBE level.

a = 6.3380 Å, b = 6.3380 Å, c = 14.0892 Å
α = 90.00°, β = 90.00°, γ = 90.00°
Closest atoms and distances in Å follow each position.
Space group I4/mmm (No. 139)
Inequivalent atoms, fractional coordinates:
Rb: 0.0000 0.0000 0.1743 x4  1 O 2.46
Rb: 0.0000 0.5000 0.0000 x4  2 O 3.17, 4 Se 3.41
Se: 0.0000 0.0000 0.4107 x4  1 Se 2.52
O: 0.0000 0.0000 0.0000 x2  2 Rb 2.46

Calculated values
Raw formation energy in eV per atom: -0.85
M_tot in μB per formula unit: 0.09

---

[11]
Below is a relaxed PmAlZn4Au2 crystal, with properties calculated at the PBE level.

a = 4.3938 Å, b = 4.3938 Å, c = 26.6242 Å
α = 90.00°, β = 90.00°, γ = 120.00°
Closest atoms and distances in Å follow each position.
Space group R-3m (No. 166, hexagonal axes)
Inequivalent atoms, fractional coordinates:
Pm: 0.0000 0.0000 0.0000 x3  8 Zn 3.05-3.37
Al: 0.0000 0.0000 0.5000 x3  8 Zn 2.74-2.75
Zn: 0.0000 0.0000 0.1267 x6  3 Au 2.73, 3 Al 2.75, 3 Zn 3.04
Zn: 0.0000 0.0000 0.3971 x6  3 Au 2.62, 1 Al 2.74
Au: 0.0000 0.0000 0.2447 x6  6 Zn 2.62-2.73

Calculated values
Total DFT energy (no corrections) in eV per atom: -2.79
D(E_F) in states/eV/cell: 7.49
M_tot in μB per formula unit: 0.00

---

[12]
Below is a relaxed TbSm5Se6 crystal, with properties calculated at the PBE level.

a = 7.2059 Å, b = 12.5133 Å, c = 7.1894 Å
α = 90.00°, β = 109.63°, γ = 90.00°
Closest atoms and distances in Å follow each position.
Space group C2/m (No. 12)
Inequivalent atoms, fractional coordinates:
Tb: 0.0000 0.0000 0.0000 x2  6 Se 2.90-2.91
Sm: 0.0000 0.1697 0.5000 x4  6 Se 2.94-2.96
Sm: 0.0000 0.3327 0.0000 x4  6 Se 2.94-2.96
Sm: 0.0000 0.5000 0.5000 x2  6 Se 2.94-2.97
Se: 0.2458 0.0000 0.7509 x4  1 Tb 2.91, 5 Sm 2.96-2.97
Se: 0.2466 0.1642 0.2468 x8  1 Tb 2.90, 5 Sm 2.94-2.95

Calculated values
Raw formation energy in eV per atom: -1.81
D(E_F) in states/eV/cell: 9.92
M_tot in μB per formula unit: 0.00